No. 1
Computed, not measured: crystalline RuPbBr2 at its relaxed geometry at the GGA-PBE level of DFT.

Results
- Relative energy among the computed polymorphs: 0.5045 eV/atom
- V: 23.97 Å³ per atom
- Formation energy from raw total energies: 0.4878 eV/atom
- Fermi-level density of states: 20.98 states/eV/cell
- Spin magnetization: 2.17 μB per formula unit

a b c (Å): 7.265 7.265 7.265
angles (deg): 90.00 90.00 90.00
Space group Fm-3m (No. 225)
Symmetry-distinct sites (fractional):
Ru 0.000 0.000 0.000 (multiplicity 4)
Pb 0.000 0.000 0.500 (multiplicity 4)
Br 0.250 0.250 0.250 (multiplicity 8)

---

No. 2
Computed, not measured: crystalline Sc3MnH at its relaxed geometry at the GGA-PBE level of DFT.

Results
- Relative energy among the computed polymorphs: 0.0000 eV/atom
- V: 17.11 Å³ per atom
- Fermi-level density of states: 7.26 states/eV/cell
- Spin magnetization: 1.21 μB per formula unit

a b c (Å): 4.406 4.406 4.406
angles (deg): 90.00 90.00 90.00
Space group Pm-3m (No. 221)
Symmetry-distinct sites (fractional):
Sc 0.000 0.000 0.500 (multiplicity 3)
Mn 0.500 0.500 0.500 (multiplicity 1)
H 0.000 0.000 0.000 (multiplicity 1)

---

No. 3
Computed, not measured: crystalline Cu4RuW at its relaxed geometry at the GGA-PBE level of DFT.

Results
- V: 12.61 Å³ per atom
- E: -6.263 eV per atom
- Fermi-level density of states: 5.84 states/eV/cell
- Spin magnetization: 0.00 μB per formula unit

a b c (Å): 6.714 6.714 6.714
angles (deg): 90.00 90.00 90.00
Space group F-43m (No. 216)
Symmetry-distinct sites (fractional):
Cu 0.125 0.125 0.125 (multiplicity 16)
Ru 0.250 0.250 0.750 (multiplicity 4)
W 0.000 0.000 0.500 (multiplicity 4)

---

No. 4
Computed, not measured: crystalline Ca3CuPt at its relaxed geometry at the GGA-PBE level of DFT.

Results
- Relative energy among the computed polymorphs: 0.2686 eV/atom
- V: 33.10 Å³ per atom
- Fermi-level density of states: 2.15 states/eV/cell
- Spin magnetization: 0.00 μB per formula unit

a b c (Å): 5.490 5.490 5.490
angles (deg): 90.00 90.00 90.00
Space group Pm-3m (No. 221)
Symmetry-distinct sites (fractional):
Ca 0.000 0.000 0.500 (multiplicity 3)
Cu 0.500 0.500 0.500 (multiplicity 1)
Pt 0.000 0.000 0.000 (multiplicity 1)

---

No. 5
Computed, not measured: crystalline PmSmMgMn at its relaxed geometry at the GGA-PBE level of DFT.

Results
- V: 26.36 Å³ per atom
- E: -4.944 eV per atom
- Fermi-level density of states: 19.82 states/eV/cell
- Spin magnetization: 3.32 μB per formula unit

a b c (Å): 7.500 7.500 7.500
angles (deg): 90.00 90.00 90.00
Space group F-43m (No. 216)
Symmetry-distinct sites (fractional):
Pm 0.000 0.000 0.000 (multiplicity 4)
Sm 0.000 0.000 0.500 (multiplicity 4)
Mg 0.250 0.250 0.750 (multiplicity 4)
Mn 0.250 0.250 0.250 (multiplicity 4)

---

No. 6
Computed, not measured: crystalline Ac3CdIr at its relaxed geometry at the GGA-PBE level of DFT.

Results
- Relative energy among the computed polymorphs: 0.0289 eV/atom
- V: 36.64 Å³ per atom
- Fermi-level density of states: 17.62 states/eV/cell
- Spin magnetization: 0.00 μB per formula unit

a b c (Å): 10.096 7.410 10.780
angles (deg): 90.00 114.67 90.00
Space group P2_1/c (No. 14)
Symmetry-distinct sites (fractional):
Ac 0.087 0.073 0.362 (multiplicity 4)
Ac 0.207 0.583 0.556 (multiplicity 4)
Ac 0.369 0.092 0.766 (multiplicity 4)
Cd 0.429 0.666 0.929 (multiplicity 4)
Ir 0.081 0.249 0.611 (multiplicity 4)

---

No. 7
Computed, not measured: crystalline BaMgGe3 at its relaxed geometry at the GGA-PBE level of DFT.

Results
- Relative energy among the computed polymorphs: 0.0000 eV/atom
- V: 27.50 Å³ per atom
- Fermi-level density of states: 3.20 states/eV/cell
- Spin magnetization: 0.00 μB per formula unit

a b c (Å): 5.161 5.161 5.161
angles (deg): 90.00 90.00 90.00
Space group Pm-3m (No. 221)
Symmetry-distinct sites (fractional):
Ba 0.000 0.000 0.000 (multiplicity 1)
Mg 0.500 0.500 0.500 (multiplicity 1)
Ge 0.000 0.500 0.500 (multiplicity 3)

---

No. 8
Computed, not measured: crystalline PrU5P6 at its relaxed geometry at the GGA-PBE level of DFT.

Results
- V: 22.30 Å³ per atom
- E: -8.841 eV per atom
- Fermi-level density of states: 58.08 states/eV/cell
- Spin magnetization: 10.92 μB per formula unit

a b c (Å): 6.886 11.946 6.902
angles (deg): 90.00 109.51 90.00
Space group C2/m (No. 12)
Symmetry-distinct sites (fractional):
Pr 0.000 0.000 0.000 (multiplicity 2)
U 0.000 0.163 0.500 (multiplicity 4)
U 0.000 0.333 0.000 (multiplicity 4)
U 0.000 0.500 0.500 (multiplicity 2)
P 0.241 0.500 0.254 (multiplicity 4)
P 0.242 0.328 0.743 (multiplicity 8)

---

No. 9
Computed, not measured: crystalline Ti2FeS2 at its relaxed geometry at the GGA-PBE level of DFT.

Results
- V: 13.68 Å³ per atom
- Formation energy from raw total energies: -0.8215 eV/atom
- Fermi-level density of states: 8.52 states/eV/cell
- Spin magnetization: 2.05 μB per formula unit

a b c (Å): 6.514 6.514 3.224
angles (deg): 90.00 90.00 90.00
Space group P4/mbm (No. 127)
Symmetry-distinct sites (fractional):
Ti 0.150 0.350 0.000 (multiplicity 4)
Fe 0.000 0.000 0.500 (multiplicity 2)
S 0.154 0.654 0.500 (multiplicity 4)

---

No. 10
Computed, not measured: crystalline CdWSe2 at its relaxed geometry at the GGA-PBE level of DFT.

Results
- V: 19.87 Å³ per atom
- Formation energy from raw total energies: 1.0123 eV/atom
- Fermi-level density of states: 8.40 states/eV/cell
- Spin magnetization: 2.12 μB per formula unit

a b c (Å): 6.825 6.825 6.825
angles (deg): 90.00 90.00 90.00
Space group F-43m (No. 216)
Symmetry-distinct sites (fractional):
Cd 0.000 0.000 0.000 (multiplicity 4)
W 0.250 0.250 0.250 (multiplicity 4)
Se 0.000 0.000 0.500 (multiplicity 4)
Se 0.250 0.250 0.750 (multiplicity 4)

---

No. 11
Computed, not measured: crystalline Hg2PbWI at its relaxed geometry at the GGA-PBE level of DFT.

Results
- V: 37.52 Å³ per atom
- Formation energy from raw total energies: 1.1897 eV/atom
- Fermi-level density of states: 5.62 states/eV/cell
- Spin magnetization: 4.24 μB per formula unit

a b c (Å): 5.772 5.772 5.631
angles (deg): 90.00 90.00 90.00
Space group P4/mmm (No. 123)
Symmetry-distinct sites (fractional):
Hg 0.000 0.500 0.000 (multiplicity 2)
Pb 0.000 0.000 0.000 (multiplicity 1)
W 0.000 0.000 0.500 (multiplicity 1)
I 0.500 0.500 0.500 (multiplicity 1)

---

No. 12
Computed, not measured: crystalline SrNd2In2Ag2 at its relaxed geometry at the GGA-PBE level of DFT.

Results
- V: 29.40 Å³ per atom
- E: -3.502 eV per atom
- Fermi-level density of states: 15.27 states/eV/cell
- Spin magnetization: 0.00 μB per formula unit

a b c (Å): 4.9637 4.9637 28.9342
angles (deg): 90.00 90.00 120.00
Space group R-3m (No. 166, hexagonal axes)
Symmetry-distinct sites (fractional):
Sr 0.0000 0.0000 0.0000 (multiplicity 3)
Nd 0.0000 0.0000 0.1281 (multiplicity 6)
In 0.0000 0.0000 0.2544 (multiplicity 6)
Ag 0.0000 0.0000 0.4094 (multiplicity 6)